Entry from Alexandria: a relaxed structure of MnFe2WBr (PBE-GGA).

The calculation puts the uncorrected formation energy at 1.6451 eV/atom. The density of states at the Fermi level comes out at 5.9 states/eV/cell. The crystal system is tetragonal. As for the total DFT energy (no corrections): -0.478 Ry/atom.

The space group is P4/mmm (No. 123) and the conventional cell measures 4.235, 4.235 and 4.646 Å, with angles of 90.00, 90.00 and 90.00 degrees. The distinct sites, in fractional coordinates, are Mn at (0.000, 0.000, 0.000), Fe at (0.000, 0.500, 0.500), W at (0.500, 0.500, 0.000) and Br at (0.500, 0.500, 0.500).

Entry from Alexandria: a relaxed structure of LaTa2Mo (PBE-GGA).

The density of states at the Fermi level comes out at 10.5 states/eV/cell. For the formation energy, the calculation gives 0.286 eV per atom. Its excess energy over the best structure of this formula in the dataset is 80 meV per atom. The crystal system is orthorhombic. As for the total DFT energy (no corrections): -0.704 Ry/atom.

The space group is Cmmm (No. 65) and the conventional cell measures 3.253, 5.005 and 10.069 Å, with angles of 90.00, 90.00 and 90.00 degrees. The distinct sites, in fractional coordinates, are La at (0.000, 0.000, 0.000), Ta at (0.000, 0.500, 0.291) and Mo at (0.000, 0.000, 0.500).

Entry from Alexandria: a relaxed structure of Ba3LiSb2O8 (PBE-GGA).

The calculation puts the uncorrected formation energy at -1.9735 eV/atom. The density of states at the Fermi level comes out at 2.8 states/eV/cell. The crystal system is trigonal. As for the total DFT energy (no corrections): -0.437 Ry/atom.

The space group is P-3m1 (No. 164) and the conventional cell measures 6.0172, 6.0172 and 7.8331 Å, with angles of 90.00, 90.00 and 120.00 degrees. The distinct sites, in fractional coordinates, are Ba at (0.0000, 0.0000, 0.0000), Ba at (0.3333, 0.6667, 0.6364), Li at (0.0000, 0.0000, 0.5000), Sb at (0.3333, 0.6667, 0.2035), O at (0.1660, 0.3320, 0.3145) and O at (0.3333, 0.6667, 0.9562).

Entry from Alexandria: a relaxed structure of Sr2Al7Si (PBE-GGA).

The calculation puts the uncorrected formation energy at -0.2014 eV/atom. The density of states at the Fermi level comes out at 2.4 states/eV/cell. The crystal system is tetragonal. As for the total DFT energy (no corrections): -0.272 Ry/atom.

The space group is P-4m2 (No. 115) and the conventional cell measures 4.478, 4.478 and 11.024 Å, with angles of 90.00, 90.00 and 90.00 degrees. The distinct sites, in fractional coordinates, are Sr at (0.000, 0.500, 0.248), Al at (0.000, 0.000, 0.000), Al at (0.000, 0.000, 0.500), Al at (0.000, 0.500, 0.634), Al at (0.000, 0.500, 0.873), Al at (0.500, 0.500, 0.500) and Si at (0.500, 0.500, 0.000).

Entry from Alexandria: a relaxed structure of VAgSn2 (PBE-GGA).

The density of states at the Fermi level comes out at 8.9 states/eV/cell. For the formation energy, the calculation gives 0.222 eV per atom. Its excess energy over the best structure of this formula in the dataset is 0 meV per atom. The crystal system is trigonal. As for the total DFT energy (no corrections): -0.351 Ry/atom.

The space group is R-3m (No. 166, hexagonal axes) and the conventional cell measures 3.1648, 3.1648 and 29.4712 Å, with angles of 90.00, 90.00 and 120.00 degrees. The distinct sites, in fractional coordinates, are V at (0.0000, 0.0000, 0.0000), Ag at (0.0000, 0.0000, 0.5000) and Sn at (0.0000, 0.0000, 0.4073).

Entry from Alexandria: a relaxed structure of CaSmDy2 (PBE-GGA).

The density of states at the Fermi level comes out at 17.8 states/eV/cell. For the formation energy, the calculation gives 0.161 eV per atom. Its excess energy over the best structure of this formula in the dataset is 99 meV per atom. The crystal system is trigonal. As for the total DFT energy (no corrections): -0.281 Ry/atom.

The space group is R-3m (No. 166, hexagonal axes) and the conventional cell measures 3.5635, 3.5635 and 37.8160 Å, with angles of 90.00, 90.00 and 120.00 degrees. The distinct sites, in fractional coordinates, are Ca at (0.0000, 0.0000, 0.0000), Sm at (0.0000, 0.0000, 0.5000) and Dy at (0.0000, 0.0000, 0.0907).